# 1
The following is a DFT calculation (PBE) of SiAuNF2 after structural relaxation.

Unit cell a=4.161 b=4.161 c=3.326 alpha=90.00 beta=90.00 gamma=90.00
Space group P4/mmm (No. 123)
One atom of each set of equivalent atoms:
Si 0.000 0.000 0.000 [1 per cell]
Au 0.500 0.500 0.500 [1 per cell]
N 0.000 0.000 0.500 [1 per cell]
F 0.000 0.500 0.000 [2 per cell]

Results
The value obtained for the calculated volume is 11.51 A^3/atom.

# 2
The following is a DFT calculation (PBE) of SrAuN2F after structural relaxation.

Unit cell a=3.982 b=3.982 c=5.182 alpha=90.00 beta=90.00 gamma=90.00
Space group P4/mmm (No. 123)
One atom of each set of equivalent atoms:
Sr 0.000 0.000 0.000 [1 per cell]
Au 0.500 0.500 0.500 [1 per cell]
N 0.000 0.500 0.500 [2 per cell]
F 0.500 0.500 0.000 [1 per cell]

Results
The value obtained for the calculated volume is 16.44 A^3/atom.

| no. | formation energy (no corrections) (eV/atom) |
| --- | --- |
| 1 | -0.68 |
| 2 | 0.01 |